# 1
{
  "formula": "Zn3TeAs2Pb3O14",
  "functional": "meta-GGA SCAN",
  "state": "single point on PBEsol structure",
  "cell": [[5.2368, 0.0000, 0.0000], [0.0000, 8.5347, 0.0000], [0.0000, -4.2673, 7.3912]],
  "species": ["Zn", "Zn", "Zn", "Te", "As", "As", "Pb", "Pb", "Pb", "O", "O", "O", "O", "O", "O", "O", "O", "O", "O", "O", "O", "O", "O"],
  "frac_coords": [[0.5000, 0.7592, 0.7592], [0.5000, 0.2408, 0.0000], [0.5000, 0.0000, 0.2408], [0.0000, 0.0000, 0.0000], [0.4525, 0.6667, 0.3333], [0.5475, 0.3333, 0.6667], [0.0000, 0.4019, 0.4019], [0.0000, 0.5981, 0.0000], [0.0000, 0.0000, 0.5981], [0.3180, 0.4609, 0.1833], [0.6820, 0.5391, 0.7225], [0.7858, 0.8737, 0.0870], [0.3180, 0.7225, 0.5391], [0.7858, 0.9130, 0.7866], [0.2142, 0.0870, 0.8737], [0.2232, 0.3333, 0.6667], [0.2142, 0.1263, 0.2134], [0.3180, 0.8167, 0.2775], [0.7858, 0.2134, 0.1263], [0.7768, 0.6667, 0.3333], [0.2142, 0.7866, 0.9130], [0.6820, 0.1833, 0.4609], [0.6820, 0.2775, 0.8167]],
  "formation_energy_uncorrected_ev_per_atom": -1.454,
  "energy_ev_per_cell": -466.19,
  "magmom_total_mub_per_atom": 0.000,
  "spacegroup": "P321"
}



# 2
{
  "formula": "GeTeAsBr2",
  "functional": "meta-GGA SCAN",
  "state": "single point on PBEsol structure",
  "cell": [[5.3862, 0.0000, 0.0000], [0.0000, 5.3862, 0.0000], [0.0000, 0.0000, 5.4548]],
  "species": ["As", "Te", "Ge", "Br", "Br"],
  "frac_coords": [[0.0000, 0.0000, 0.5000], [0.0000, 0.0000, 0.0000], [0.5000, 0.5000, 0.5000], [0.0000, 0.5000, 0.0000], [0.5000, 0.0000, 0.0000]],
  "formation_energy_uncorrected_ev_per_atom": 0.655,
  "energy_ev_per_cell": -112.17,
  "magmom_total_mub_per_atom": 0.001,
  "spacegroup": "P4/mmm"
}



# 3
{
  "formula": "MgScIn2",
  "functional": "meta-GGA SCAN",
  "state": "single point on PBEsol structure",
  "cell": [[4.4397, 0.0000, 0.0000], [0.0000, 4.4397, 0.0000], [-2.2198, -2.2198, 4.3866]],
  "species": ["Sc", "Mg", "In", "In"],
  "frac_coords": [[0.5000, 0.5000, 0.0000], [0.0000, 0.0000, 0.0000], [0.7500, 0.2500, 0.5000], [0.2500, 0.7500, 0.5000]],
  "formation_enthalpy_0k_mev_per_atom": -388,
  "energy_ev_per_cell": -87.54,
  "magmom_total_mub_per_atom": 0.000,
  "spacegroup": "I4/mmm"
}



# 4
{
  "formula": "TaIr2W",
  "functional": "meta-GGA SCAN",
  "state": "single point on PBEsol structure",
  "cell": [[3.9505, 0.0000, 0.0000], [0.0000, 3.9505, 0.0000], [-1.9753, -1.9753, 3.8800]],
  "species": ["Ir", "Ir", "W", "Ta"],
  "frac_coords": [[0.7500, 0.2500, 0.5000], [0.2500, 0.7500, 0.5000], [0.5000, 0.5000, 0.0000], [0.0000, 0.0000, 0.0000]],
  "formation_enthalpy_0k_mev_per_atom": -554,
  "energy_ev_per_cell": -280.68,
  "magmom_total_mub_per_atom": 0.000,
  "spacegroup": "I4/mmm"
}



# 5
{
  "formula": "TaMnAu2",
  "functional": "meta-GGA SCAN",
  "state": "single point on PBEsol structure",
  "cell": [[2.8552, 0.0000, 0.0000], [0.0000, 4.7946, -0.0400], [-1.4276, -0.8193, 4.6510]],
  "species": ["Au", "Au", "Mn", "Ta"],
  "frac_coords": [[0.2526, 0.2530, 0.5052], [0.7474, 0.7470, 0.4948], [0.0000, 0.5000, 0.0000], [0.5000, 0.0000, 0.0000]],
  "formation_enthalpy_0k_mev_per_atom": -53,
  "energy_ev_per_cell": -223.36,
  "magmom_total_mub_per_atom": 0.733,
  "spacegroup": "C2/m"
}



# 6
{
  "formula": "Zr2CuNi2",
  "functional": "meta-GGA SCAN",
  "state": "single point on PBEsol structure",
  "cell": [[3.3100, 0.0000, 0.0000], [0.0000, 6.7954, 0.0000], [0.0000, 0.0000, 6.7954]],
  "species": ["Ni", "Ni", "Ni", "Ni", "Cu", "Cu", "Zr", "Zr", "Zr", "Zr"],
  "frac_coords": [[0.0000, 0.3743, 0.8743], [0.0000, 0.8743, 0.6257], [0.0000, 0.6257, 0.1257], [0.0000, 0.1257, 0.3743], [0.0000, 0.0000, 0.0000], [0.0000, 0.5000, 0.5000], [0.5000, 0.1764, 0.6764], [0.5000, 0.6764, 0.8236], [0.5000, 0.8236, 0.3236], [0.5000, 0.3236, 0.1764]],
  "formation_enthalpy_0k_mev_per_atom": -392,
  "energy_ev_per_cell": -221.81,
  "magmom_total_mub_per_atom": 0.000,
  "spacegroup": "P4/mbm"
}



# 7
{
  "formula": "TmZnSn2",
  "functional": "meta-GGA SCAN",
  "state": "single point on PBEsol structure",
  "cell": [[4.2667, 0.0000, 0.0000], [0.0000, 4.2667, 0.0000], [0.0000, 0.0000, 9.5526]],
  "species": ["Tm", "Tm", "Zn", "Zn", "Sn", "Sn", "Sn", "Sn"],
  "frac_coords": [[0.0000, 0.5000, 0.7479], [0.5000, 0.0000, 0.2521], [0.0000, 0.0000, 0.5000], [0.5000, 0.5000, 0.5000], [0.0000, 0.0000, 0.0000], [0.5000, 0.5000, 0.0000], [0.0000, 0.5000, 0.3118], [0.5000, 0.0000, 0.6882]],
  "formation_enthalpy_0k_mev_per_atom": -471,
  "energy_ev_per_cell": -278.15,
  "magmom_total_mub_per_atom": 0.000,
  "spacegroup": "P4/nmm"
}



# 8
{
  "formula": "HSe3S",
  "functional": "meta-GGA SCAN",
  "state": "single point on PBEsol structure",
  "cell": [[-4.0442, 2.5123, 0.6455], [-0.8129, -2.3631, 4.1035], [2.4632, 3.3449, 2.4142]],
  "species": ["H", "S", "Se", "Se", "Se"],
  "frac_coords": [[0.5000, 0.5000, 0.5000], [0.0000, 0.0000, 0.0000], [0.0000, 0.5000, 0.0000], [0.0000, 0.0000, 0.5000], [0.5000, 0.0000, 0.0000]],
  "energy_ev_per_cell": -67.81,
  "magmom_total_mub_per_atom": 0.122,
  "spacegroup": "Pm-3m"
}



# 9
{
  "formula": "ZrScCd2",
  "functional": "meta-GGA SCAN",
  "state": "single point on PBEsol structure",
  "cell": [[3.5054, 0.0000, 0.0000], [0.0000, 4.8868, 0.0000], [0.0000, 0.0000, 4.8868]],
  "species": ["Sc", "Zr", "Cd", "Cd"],
  "frac_coords": [[0.5000, 0.5000, 0.5000], [0.5000, 0.0000, 0.0000], [0.0000, 0.0000, 0.5000], [0.0000, 0.5000, 0.0000]],
  "formation_enthalpy_0k_mev_per_atom": -289,
  "energy_ev_per_cell": -106.92,
  "magmom_total_mub_per_atom": 0.210,
  "spacegroup": "P4/mmm"
}



# 10
{
  "formula": "SmYRh2",
  "functional": "meta-GGA SCAN",
  "state": "single point on PBEsol structure",
  "cell": [[-2.0299, -4.3214, -0.6915], [2.0393, -3.1687, -3.0122], [2.1188, -3.9673, 1.7448]],
  "species": ["Y", "Rh", "Rh", "Sm"],
  "frac_coords": [[0.5000, 0.5000, 0.5000], [0.2500, 0.2500, 0.2500], [0.7500, 0.7500, 0.7500], [0.0000, 0.0000, 0.0000]],
  "formation_enthalpy_0k_mev_per_atom": -889,
  "energy_ev_per_cell": -143.38,
  "magmom_total_mub_per_atom": 0.000,
  "spacegroup": "Fm-3m"
}



# 11
{
  "formula": "SrMg2Cd",
  "functional": "meta-GGA SCAN",
  "state": "single point on PBEsol structure",
  "cell": [[3.5321, 0.0000, -0.0052], [0.0000, 4.8210, 0.0000], [-1.7638, 0.0000, 6.5339]],
  "species": ["Sr", "Mg", "Mg", "Cd"],
  "frac_coords": [[0.4522, 0.0000, 0.5311], [0.1947, 0.0000, 0.0124], [0.7805, 0.5000, 0.1851], [0.0727, 0.5000, 0.7714]],
  "formation_enthalpy_0k_mev_per_atom": -125,
  "energy_ev_per_cell": -63.14,
  "magmom_total_mub_per_atom": 0.008,
  "spacegroup": "Pm"
}



# 12
{
  "formula": "K2CaBe",
  "functional": "meta-GGA SCAN",
  "state": "single point on PBEsol structure",
  "cell": [[4.1436, 0.0026, 0.0000], [-0.4181, 5.4707, 0.0000], [-1.8627, -2.7366, 6.5699]],
  "species": ["Be", "Ca", "K", "K"],
  "frac_coords": [[0.0000, 0.5000, 0.0000], [0.5000, 0.0000, 0.0000], [0.5000, 0.5000, 0.5000], [0.0000, 0.0000, 0.5000]],
  "formation_enthalpy_0k_mev_per_atom": 726,
  "energy_ev_per_cell": -27.77,
  "magmom_total_mub_per_atom": 0.025,
  "spacegroup": "C2/m"
}



Please write out number 3 again, unchanged.
{
  "formula": "MgScIn2",
  "functional": "meta-GGA SCAN",
  "state": "single point on PBEsol structure",
  "cell": [[4.4397, 0.0000, 0.0000], [0.0000, 4.4397, 0.0000], [-2.2198, -2.2198, 4.3866]],
  "species": ["Sc", "Mg", "In", "In"],
  "frac_coords": [[0.5000, 0.5000, 0.0000], [0.0000, 0.0000, 0.0000], [0.7500, 0.2500, 0.5000], [0.2500, 0.7500, 0.5000]],
  "formation_enthalpy_0k_mev_per_atom": -388,
  "energy_ev_per_cell": -87.54,
  "magmom_total_mub_per_atom": 0.000,
  "spacegroup": "I4/mmm"
}